No. 1
Crystalline NaHRuO2 at its relaxed geometry. Source: the Alexandria database, functional PBE. Values from VASP.

```
&SYSTEM
  ibrav = 0, nat = 5, ntyp = 4
/
ATOMIC_SPECIES
Ru 101.07 Ru.upf
H 1.01 H.upf
O 16.00 O.upf
Na 22.99 Na.upf
ATOMIC_POSITIONS angstrom
Ru 0.000 0.000 0.000
H 1.845 3.393 1.845
O 0.000 0.000 1.845
O 1.845 0.000 0.000
Na 0.000 3.393 0.000
CELL_PARAMETERS angstrom
3.690 0.000 0.000
0.000 6.786 0.000
0.000 0.000 3.690
```

Summary:
calculated density	2.82	g cm⁻³
E	-25.6	eV/cell

=====

No. 2
Crystalline Na2HRuO4 at its relaxed geometry. Source: the Alexandria database, functional PBE. Values from VASP.

```
&SYSTEM
  ibrav = 0, nat = 16, ntyp = 4
/
ATOMIC_SPECIES
Na 22.99 Na.upf
H 1.01 H.upf
Ru 101.07 Ru.upf
O 16.00 O.upf
ATOMIC_POSITIONS angstrom
Na -0.675 2.928 -0.647
Na -2.240 0.992 1.857
Na -1.565 -1.936 2.503
Na -1.392 2.863 -3.635
H -0.717 -0.065 -2.988
H -3.632 3.854 -1.778
Ru -2.957 0.926 -1.132
Ru -4.480 1.983 3.713
O -1.770 1.358 -5.035
O -2.582 2.192 0.082
O -3.331 -0.340 -2.345
O -4.144 0.495 2.772
O -5.044 1.100 -0.344
O -3.814 2.623 -2.313
O -2.100 -0.770 0.049
O -0.870 0.753 -1.919
CELL_PARAMETERS angstrom
-1.350 5.856 -1.293
-1.434 -0.131 -5.976
-3.130 -3.873 5.007
```

Summary:
calculated density	3.98	g cm⁻³
E	-85.4	eV/cell

=====

No. 3
Crystalline NaHSO4 at its relaxed geometry. Source: the Alexandria database, functional PBE. Values from VASP.

```
&SYSTEM
  ibrav = 0, nat = 7, ntyp = 4
/
ATOMIC_SPECIES
Na 22.99 Na.upf
H 1.01 H.upf
S 32.06 S.upf
O 16.00 O.upf
ATOMIC_POSITIONS angstrom
Na 0.000 0.000 0.000
H -1.208 -2.844 -1.330
S -2.534 -1.272 0.768
O -1.745 2.316 -0.105
O -2.124 -2.486 -0.008
O -2.887 -0.199 -0.215
O -1.920 -2.458 -2.765
CELL_PARAMETERS angstrom
-0.478 -1.713 -4.413
-1.939 -3.975 1.753
-1.921 4.275 1.113
```

Summary:
energy above the most stable polymorph in this dataset	338	meV per atom
calculated density	2.55	g cm⁻³
E	-36.9	eV/cell